Below is crystalline Tb2Tm8Sc at its relaxed geometry, with properties calculated at the PBE level.

```
data_Tb2Tm8Sc
_chemical_formula_sum 'Tb4 Tm16 Sc2'
_cell_length_a 16.255
_cell_length_b 6.475
_cell_length_c 6.524
_cell_angle_alpha 90.00
_cell_angle_beta 101.35
_cell_angle_gamma 90.00
_symmetry_space_group_name_H-M 'C 1 2/m 1'
_symmetry_Int_Tables_number 12
loop_
_symmetry_equiv_pos_as_xyz
'x,y,z'
'-x,-y,-z'
'-x,y,-z'
'x,-y,z'
'x+1/2,y+1/2,z'
'-x+1/2,-y+1/2,-z'
'-x+1/2,y+1/2,-z'
'x+1/2,-y+1/2,z'
loop_
_atom_site_label
_atom_site_type_symbol
_atom_site_fract_x
_atom_site_fract_y
_atom_site_fract_z
Tb1 Tb 0.246 0.000 0.324
Tm1 Tm 0.083 0.259 0.391
Tm2 Tm 0.091 0.500 0.908
Tm3 Tm 0.192 0.000 0.808
Sc1 Sc 0.000 0.000 0.000
```

Crystal system: monoclinic
Relative energy among the computed polymorphs in meV/atom: 71
Magnetization in μB per formula unit: 0.00
ΔH_f (0 K) in meV per atom: 184
E_tot in eV per atom: -4.486

---

Below is crystalline La5NdSm5 at its relaxed geometry, with properties calculated at the PBE level.

```
data_La5NdSm5
_chemical_formula_sum 'La5 Nd1 Sm5'
_cell_length_a 6.3063
_cell_length_b 6.3063
_cell_length_c 11.7674
_cell_angle_alpha 90.00
_cell_angle_beta 90.00
_cell_angle_gamma 120.00
_symmetry_space_group_name_H-M 'P -6 m 2'
_symmetry_Int_Tables_number 187
_symmetry_space_group_name_Hall 'P -6 2'
loop_
_atom_site_label
_atom_site_type_symbol
_atom_site_fract_x
_atom_site_fract_y
_atom_site_fract_z
La1 La 0.0000 0.0000 0.0000
La2 La 0.3333 0.6667 0.3218
La3 La 0.6667 0.3333 0.1548
Nd1 Nd 0.3333 0.6667 0.0000
Sm1 Sm 0.0000 0.0000 0.2652
Sm2 Sm 0.3356 0.1678 0.5000
```

Crystal system: hexagonal
Relative energy among the computed polymorphs in meV/atom: 31
Magnetization in μB per formula unit: 0.00
ΔH_f (0 K) in meV per atom: 250
E_tot in eV per atom: -4.568

---

Below is crystalline Pm4AsS2 at its relaxed geometry, with properties calculated at the PBE level.

```
data_Pm4AsS2
_chemical_formula_sum 'Pm8 As2 S4'
_cell_length_a 15.202
_cell_length_b 4.064
_cell_length_c 6.907
_cell_angle_alpha 90.00
_cell_angle_beta 116.25
_cell_angle_gamma 90.00
_symmetry_space_group_name_H-M 'C 1 2/m 1'
_symmetry_Int_Tables_number 12
loop_
_symmetry_equiv_pos_as_xyz
'x,y,z'
'-x,-y,-z'
'-x,y,-z'
'x,-y,z'
'x+1/2,y+1/2,z'
'-x+1/2,-y+1/2,-z'
'-x+1/2,y+1/2,-z'
'x+1/2,-y+1/2,z'
loop_
_atom_site_label
_atom_site_type_symbol
_atom_site_fract_x
_atom_site_fract_y
_atom_site_fract_z
Pm1 Pm 0.128 0.000 0.462
Pm2 Pm 0.131 0.500 0.971
As1 As 0.000 0.000 0.000
S1 S 0.243 0.500 0.738
```

Crystal system: monoclinic
Magnetization in μB per formula unit: 0.00
Formation energy (no corrections) in kJ/mol of formula units: -1022
E_tot in eV per atom: -6.072

---

Please write out number 2 again, unchanged.
Below is crystalline La5NdSm5 at its relaxed geometry, with properties calculated at the PBE level.

```
data_La5NdSm5
_chemical_formula_sum 'La5 Nd1 Sm5'
_cell_length_a 6.3063
_cell_length_b 6.3063
_cell_length_c 11.7674
_cell_angle_alpha 90.00
_cell_angle_beta 90.00
_cell_angle_gamma 120.00
_symmetry_space_group_name_H-M 'P -6 m 2'
_symmetry_Int_Tables_number 187
_symmetry_space_group_name_Hall 'P -6 2'
loop_
_atom_site_label
_atom_site_type_symbol
_atom_site_fract_x
_atom_site_fract_y
_atom_site_fract_z
La1 La 0.0000 0.0000 0.0000
La2 La 0.3333 0.6667 0.3218
La3 La 0.6667 0.3333 0.1548
Nd1 Nd 0.3333 0.6667 0.0000
Sm1 Sm 0.0000 0.0000 0.2652
Sm2 Sm 0.3356 0.1678 0.5000
```

Crystal system: hexagonal
Relative energy among the computed polymorphs in meV/atom: 31
Magnetization in μB per formula unit: 0.00
ΔH_f (0 K) in meV per atom: 250
E_tot in eV per atom: -4.568